Material: ReSiAu2
Method: DFT, GGA-PBE
State: relaxed

DOS at the Fermi energy ... 0.12 states/eV per atom
Raw formation energy ... 0.1620 eV/atom
E_tot ... -23.78 eV/cell
Crystal system ... trigonal

Structure (POSCAR):
```
ReSiAu2
1.0
1.461 0.843 8.747
-1.461 0.843 8.747
0.000 -1.687 8.747
Re Si Au
1 1 2
Direct
0.000 0.000 0.000
0.266 0.266 0.266
0.519 0.519 0.519
0.757 0.757 0.757
```